No. 1
This record from Alexandria via LeMat-Bulk describes a relaxed ZnCrInSi2 crystal. The functional is PBE.

Formation energy without anion corrections: 0.387 eV/atom
Fermi-level density of states: 1.5 states/eV per cell
VASP energy: -4.509 eV per atom
Symmetry: P4/mmm

Structure (CIF):
```
data_ZnCrInSi2
_chemical_formula_sum 'Zn1 Cr1 In1 Si2'
_cell_length_a 4.523
_cell_length_b 4.918
_cell_length_c 4.523
_cell_angle_alpha 90.00
_cell_angle_beta 90.00
_cell_angle_gamma 90.00
_space_group_name_H-M_alt 'P 1'
_space_group_IT_number 1
loop_
_space_group_symop_operation_xyz
'x,y,z'
loop_
_atom_site_label
_atom_site_fract_x
_atom_site_fract_y
_atom_site_fract_z
_atom_site_occupancy
In1 0.500 0.500 0.500 1
Si1 0.500 0.000 0.000 1
Si2 0.000 0.000 0.500 1
Zn1 0.000 0.500 0.000 1
Cr1 0.000 0.000 0.000 1
```

---

No. 2
This record from Alexandria via LeMat-Bulk describes a relaxed La3YCd crystal. The functional is PBE.

E above lowest polymorph: 694 meV per atom
Fermi-level density of states: 5.0 states/eV per cell
ΔE_f: 0.593 eV/atom
VASP energy: -3.839 eV per atom
Symmetry: Pm-3m

Structure (CIF):
```
data_La3YCd
_chemical_formula_sum 'La3 Y1 Cd1'
_cell_length_a 5.860
_cell_length_b 5.860
_cell_length_c 5.860
_cell_angle_alpha 90.00
_cell_angle_beta 90.00
_cell_angle_gamma 90.00
_space_group_name_H-M_alt 'P 1'
_space_group_IT_number 1
loop_
_space_group_symop_operation_xyz
'x,y,z'
loop_
_atom_site_label
_atom_site_fract_x
_atom_site_fract_y
_atom_site_fract_z
_atom_site_occupancy
Y1 0.000 0.000 0.000 1
La1 0.000 0.000 0.500 1
La2 0.500 0.000 0.000 1
La3 0.000 0.500 0.000 1
Cd1 0.500 0.500 0.500 1
```

---

No. 3
This record from Alexandria via LeMat-Bulk describes a relaxed La2TbZn2 crystal. The functional is PBE.

Fermi-level density of states: 5.4 states/eV per cell
ΔE_f: -0.212 eV/atom
VASP energy: -3.619 eV per atom
Symmetry: Cmmm

Structure (CIF):
```
data_La2TbZn2
_chemical_formula_sum 'La2 Tb1 Zn2'
_cell_length_a 3.637
_cell_length_b 3.686
_cell_length_c 10.208
_cell_angle_alpha 79.60
_cell_angle_beta 90.00
_cell_angle_gamma 90.00
_space_group_name_H-M_alt 'P 1'
_space_group_IT_number 1
loop_
_space_group_symop_operation_xyz
'x,y,z'
loop_
_atom_site_label
_atom_site_fract_x
_atom_site_fract_y
_atom_site_fract_z
_atom_site_occupancy
Tb1 0.000 0.000 0.000 1
La1 0.000 0.180 0.641 1
La2 0.000 0.820 0.359 1
Zn1 0.500 0.582 0.837 1
Zn2 0.500 0.418 0.163 1
```

---

No. 4
This record from Alexandria via LeMat-Bulk describes a relaxed La4CrAu crystal. The functional is PBE.

Fermi-level density of states: 10.0 states/eV per cell
ΔE_f: 0.549 eV/atom
VASP energy: -4.886 eV per atom
Symmetry: F-43m

Structure (CIF):
```
data_La4CrAu
_chemical_formula_sum 'La4 Cr1 Au1'
_cell_length_a 6.376
_cell_length_b 6.376
_cell_length_c 6.376
_cell_angle_alpha 60.00
_cell_angle_beta 60.00
_cell_angle_gamma 60.00
_space_group_name_H-M_alt 'P 1'
_space_group_IT_number 1
loop_
_space_group_symop_operation_xyz
'x,y,z'
loop_
_atom_site_label
_atom_site_fract_x
_atom_site_fract_y
_atom_site_fract_z
_atom_site_occupancy
La1 0.874 0.375 0.375 1
La2 0.375 0.375 0.375 1
La3 0.375 0.874 0.375 1
La4 0.375 0.375 0.874 1
Au1 0.750 0.750 0.750 1
Cr1 0.000 0.000 0.000 1
```

---

No. 5
This record from Alexandria via LeMat-Bulk describes a relaxed Tb2Nd2Tm3 crystal. The functional is PBE.

E above lowest polymorph: 84 meV per atom
Fermi-level density of states: 18.6 states/eV per cell
ΔE_f: 0.220 eV/atom
VASP energy: -4.382 eV per atom
Symmetry: I2_13

Structure (CIF):
```
data_Tb2Nd2Tm3
_chemical_formula_sum 'Tb4 Nd4 Tm6'
_cell_length_a 8.410
_cell_length_b 8.410
_cell_length_c 8.410
_cell_angle_alpha 109.47
_cell_angle_beta 109.47
_cell_angle_gamma 109.47
_space_group_name_H-M_alt 'P 1'
_space_group_IT_number 1
loop_
_space_group_symop_operation_xyz
'x,y,z'
loop_
_atom_site_label
_atom_site_fract_x
_atom_site_fract_y
_atom_site_fract_z
_atom_site_occupancy
Tb1 0.581 0.081 0.081 1
Tb2 0.919 0.500 0.000 1
Tb3 0.500 0.419 0.500 1
Tb4 0.000 0.000 0.419 1
Tm1 0.750 0.553 0.303 1
Tm2 0.053 0.303 0.250 1
Tm3 0.250 0.947 0.197 1
Tm4 0.447 0.197 0.750 1
Tm5 0.697 0.750 0.947 1
Tm6 0.803 0.250 0.553 1
Nd1 0.315 0.500 0.000 1
Nd2 0.185 0.685 0.685 1
Nd3 0.500 0.815 0.500 1
Nd4 0.000 0.000 0.815 1
```

---

No. 6
This record from Alexandria via LeMat-Bulk describes a relaxed LiLuRhPb crystal. The functional is PBE.

Fermi-level density of states: 4.0 states/eV per cell
ΔE_f: -0.534 eV/atom
VASP energy: -4.908 eV per atom
Symmetry: F-43m

Structure (CIF):
```
data_LiLuRhPb
_chemical_formula_sum 'Li1 Lu1 Rh1 Pb1'
_cell_length_a 4.746
_cell_length_b 4.746
_cell_length_c 4.746
_cell_angle_alpha 60.00
_cell_angle_beta 60.00
_cell_angle_gamma 60.00
_space_group_name_H-M_alt 'P 1'
_space_group_IT_number 1
loop_
_space_group_symop_operation_xyz
'x,y,z'
loop_
_atom_site_label
_atom_site_fract_x
_atom_site_fract_y
_atom_site_fract_z
_atom_site_occupancy
Pb1 0.250 0.250 0.250 1
Li1 0.000 0.000 0.000 1
Rh1 0.500 0.500 0.500 1
Lu1 0.750 0.750 0.750 1
```

---

No. 7
This record from Alexandria via LeMat-Bulk describes a relaxed Mg3Ag2Rh2 crystal. The functional is PBE.

Fermi-level density of states: 2.4 states/eV per cell
ΔE_f: -0.329 eV/atom
VASP energy: -3.928 eV per atom
Symmetry: Cmmm

Structure (CIF):
```
data_Mg3Ag2Rh2
_chemical_formula_sum 'Mg3 Ag2 Rh2'
_cell_length_a 3.187
_cell_length_b 3.154
_cell_length_c 11.902
_cell_angle_alpha 90.00
_cell_angle_beta 82.31
_cell_angle_gamma 90.00
_space_group_name_H-M_alt 'P 1'
_space_group_IT_number 1
loop_
_space_group_symop_operation_xyz
'x,y,z'
loop_
_atom_site_label
_atom_site_fract_x
_atom_site_fract_y
_atom_site_fract_z
_atom_site_occupancy
Mg1 0.873 0.000 0.253 1
Mg2 0.127 0.000 0.747 1
Mg3 0.000 0.000 0.000 1
Ag1 0.701 0.500 0.598 1
Ag2 0.299 0.500 0.402 1
Rh1 0.434 0.500 0.132 1
Rh2 0.566 0.500 0.868 1
```

---

No. 8
This record from Alexandria via LeMat-Bulk describes a relaxed ZrPCl2O crystal. The functional is PBE.

Formation energy without anion corrections: 0.177 eV/atom
E above lowest polymorph: 202 meV per atom
Fermi-level density of states: 2.5 states/eV per cell
VASP energy: -4.345 eV per atom
Symmetry: P4/mmm

Structure (CIF):
```
data_ZrPCl2O
_chemical_formula_sum 'Zr1 P1 Cl2 O1'
_cell_length_a 4.578
_cell_length_b 4.578
_cell_length_c 3.975
_cell_angle_alpha 90.00
_cell_angle_beta 90.00
_cell_angle_gamma 90.00
_space_group_name_H-M_alt 'P 1'
_space_group_IT_number 1
loop_
_space_group_symop_operation_xyz
'x,y,z'
loop_
_atom_site_label
_atom_site_fract_x
_atom_site_fract_y
_atom_site_fract_z
_atom_site_occupancy
P1 0.000 0.000 0.500 1
O1 0.000 0.000 0.000 1
Zr1 0.500 0.500 0.500 1
Cl1 0.500 0.000 0.000 1
Cl2 0.000 0.500 0.000 1
```

---

No. 9
This record from Alexandria via LeMat-Bulk describes a relaxed TaHg2AuSe crystal. The functional is PBE.

Formation energy without anion corrections: 0.907 eV/atom
Fermi-level density of states: 2.6 states/eV per cell
VASP energy: -2.937 eV per atom
Symmetry: P4/mmm

Structure (CIF):
```
data_TaHg2AuSe
_chemical_formula_sum 'Ta1 Hg2 Au1 Se1'
_cell_length_a 5.171
_cell_length_b 5.220
_cell_length_c 5.171
_cell_angle_alpha 90.00
_cell_angle_beta 90.00
_cell_angle_gamma 90.00
_space_group_name_H-M_alt 'P 1'
_space_group_IT_number 1
loop_
_space_group_symop_operation_xyz
'x,y,z'
loop_
_atom_site_label
_atom_site_fract_x
_atom_site_fract_y
_atom_site_fract_z
_atom_site_occupancy
Ta1 0.000 0.500 0.000 1
Se1 0.500 0.500 0.500 1
Hg1 0.500 0.000 0.000 1
Hg2 0.000 0.000 0.500 1
Au1 0.000 0.000 0.000 1
```

---

No. 10
This record from Alexandria via LeMat-Bulk describes a relaxed Y2PbBr crystal. The functional is PBE.

Formation energy without anion corrections: -0.472 eV/atom
E above lowest polymorph: 297 meV per atom
Fermi-level density of states: 4.0 states/eV per cell
VASP energy: -5.050 eV per atom
Symmetry: Pmmm

Structure (CIF):
```
data_Y2PbBr
_chemical_formula_sum 'Y2 Pb1 Br1'
_cell_length_a 3.768
_cell_length_b 6.401
_cell_length_c 4.921
_cell_angle_alpha 90.00
_cell_angle_beta 90.00
_cell_angle_gamma 90.00
_space_group_name_H-M_alt 'P 1'
_space_group_IT_number 1
loop_
_space_group_symop_operation_xyz
'x,y,z'
loop_
_atom_site_label
_atom_site_fract_x
_atom_site_fract_y
_atom_site_fract_z
_atom_site_occupancy
Br1 0.500 0.000 0.500 1
Y1 0.000 0.000 0.000 1
Y2 0.500 0.500 0.000 1
Pb1 0.000 0.500 0.500 1
```

---

No. 11
This record from Alexandria via LeMat-Bulk describes a relaxed TbDy2OsO8 crystal. The functional is PBE.

Formation energy without anion corrections: -2.537 eV/atom
Fermi-level density of states: 2.6 states/eV per cell
VASP energy: -7.931 eV per atom
Symmetry: Cmmm

Structure (CIF):
```
data_TbDy2OsO8
_chemical_formula_sum 'Tb1 Dy2 Os1 O8'
_cell_length_a 5.046
_cell_length_b 5.045
_cell_length_c 6.786
_cell_angle_alpha 90.00
_cell_angle_beta 90.00
_cell_angle_gamma 90.28
_space_group_name_H-M_alt 'P 1'
_space_group_IT_number 1
loop_
_space_group_symop_operation_xyz
'x,y,z'
loop_
_atom_site_label
_atom_site_fract_x
_atom_site_fract_y
_atom_site_fract_z
_atom_site_occupancy
O1 0.691 0.692 0.500 1
O2 0.817 0.184 0.209 1
O3 0.183 0.816 0.791 1
O4 0.817 0.184 0.791 1
O5 0.736 0.737 0.000 1
O6 0.183 0.816 0.209 1
O7 0.309 0.308 0.500 1
O8 0.264 0.263 0.000 1
Dy1 0.500 0.500 0.253 1
Dy2 0.500 0.500 0.747 1
Tb1 0.000 0.000 0.500 1
Os1 0.000 0.000 0.000 1
```

---

No. 12
This record from Alexandria via LeMat-Bulk describes a relaxed Sm3YAs4 crystal. The functional is PBE.

Fermi-level density of states: 0.7 states/eV per cell
ΔE_f: -1.535 eV/atom
VASP energy: -6.437 eV per atom
Symmetry: Pm-3m

Structure (CIF):
```
data_Sm3YAs4
_chemical_formula_sum 'Sm3 Y1 As4'
_cell_length_a 5.927
_cell_length_b 5.927
_cell_length_c 5.927
_cell_angle_alpha 90.00
_cell_angle_beta 90.00
_cell_angle_gamma 90.00
_space_group_name_H-M_alt 'P 1'
_space_group_IT_number 1
loop_
_space_group_symop_operation_xyz
'x,y,z'
loop_
_atom_site_label
_atom_site_fract_x
_atom_site_fract_y
_atom_site_fract_z
_atom_site_occupancy
Sm1 0.500 0.000 0.500 1
Sm2 0.500 0.500 0.000 1
Sm3 0.000 0.500 0.500 1
As1 0.500 0.500 0.500 1
As2 0.500 0.000 0.000 1
As3 0.000 0.500 0.000 1
As4 0.000 0.000 0.500 1
Y1 0.000 0.000 0.000 1
```